No. 1
Material: MnFeRh2
Method: DFT, PBE
State: optimized geometry

Its magnetic moment is 7.68 μB per formula unit. The formation enthalpy at 0 K is -0.0065 eV per atom. The space-group type is Imm2 (44).

Cell: 5.0589 5.0589 5.0589 Å, 145.68 130.66 61.48°
Last column: nearest neighbours and their distance in Å.
Atoms (fractional coordinates):
Fe 0.4982 0.4982 0.0000  6 Rh 2.59, 2 Mn 2.60
Mn 0.2535 0.7535 0.5000  6 Rh 2.59-2.61, 2 Fe 2.60
Rh 0.0072 0.0072 0.0000  4 Fe 2.59, 2 Mn 2.61, 2 Rh 2.75
Rh 0.7411 0.2411 0.5000  2 Fe 2.59, 4 Mn 2.59, 2 Rh 2.75

---

No. 2
Material: MnFeRh2
Method: DFT, PBE
State: optimized geometry

Its magnetic moment is 0.13 μB per formula unit. The formation enthalpy at 0 K is -0.0265 eV per atom. The space-group type is Pm (6).

Cell: 4.0326 2.6984 5.0485 Å, 74.59 90.00 90.00°
Last column: nearest neighbours and their distance in Å.
Atoms (fractional coordinates):
Fe 0.0000 0.6912 0.4902  2 Mn 2.41, 7 Rh 2.58-2.66
Mn 0.5000 0.5586 0.7598  2 Fe 2.41, 7 Rh 2.58-2.66
Rh 0.0000 0.9586 0.9605  3 Fe 2.58-2.66, 4 Mn 2.61-2.62, 2 Rh 2.70
Rh 0.5000 0.2916 0.2895  3 Mn 2.58-2.66, 4 Fe 2.61-2.62, 2 Rh 2.70

---

No. 3
Material: MnFe2Rh2
Method: DFT, PBE
State: optimized geometry

Its magnetic moment is 4.59 μB per formula unit. The formation enthalpy at 0 K is 0.3585 eV per atom. The space-group type is P4/mbm (127).

Cell: 6.9742 6.9742 2.6789 Å, 90.00 90.00 90.00°
Last column: nearest neighbours and their distance in Å.
Atoms (fractional coordinates):
Mn 0.0000 0.0000 0.0000  2 Mn 2.68, 4 Fe 2.79, 8 Rh 2.89
Mn 0.5000 0.5000 0.0000  2 Mn 2.68, 4 Fe 2.79, 8 Rh 2.89
Rh 0.1791 0.6791 0.5000  6 Fe 2.41-2.51, 2 Rh 2.68
Rh 0.6791 0.8209 0.5000  6 Fe 2.41-2.51, 2 Rh 2.68
Rh 0.8209 0.3209 0.5000  6 Fe 2.41-2.51, 2 Rh 2.68
Rh 0.3209 0.1791 0.5000  6 Fe 2.41-2.51, 2 Rh 2.68
Fe 0.3816 0.8816 0.0000  1 Fe 2.34, 6 Rh 2.41-2.51
Fe 0.8816 0.6184 0.0000  1 Fe 2.34, 6 Rh 2.41-2.51
Fe 0.6184 0.1184 0.0000  1 Fe 2.34, 6 Rh 2.41-2.51
Fe 0.1184 0.3816 0.0000  1 Fe 2.34, 6 Rh 2.41-2.51

---

No. 4
Material: Mn3FeRh4
Method: DFT, PBE
State: optimized geometry

Its magnetic moment is 17.07 μB per formula unit. The formation enthalpy at 0 K is -0.1433 eV per atom. The space-group type is Pmmm (47).

Cell: 3.0213 4.2961 8.6083 Å, 90.00 90.00 90.00°
Last column: nearest neighbours and their distance in Å.
Atoms (fractional coordinates):
Mn 0.5000 0.0000 0.2506  8 Rh 2.63
Mn 0.5000 0.5000 0.5000  8 Rh 2.63-2.66
Mn 0.5000 0.0000 0.7494  8 Rh 2.63
Rh 0.0000 0.0000 0.5000  8 Mn 2.63
Rh 0.0000 0.5000 0.7542  2 Fe 2.60, 6 Mn 2.63-2.66
Rh 0.0000 0.0000 0.0000  4 Fe 2.63, 4 Mn 2.63
Rh 0.0000 0.5000 0.2458  2 Fe 2.60, 6 Mn 2.63-2.66
Fe 0.5000 0.5000 0.0000  8 Rh 2.60-2.63

---

No. 5
Material: MnFe3Rh12
Method: DFT, PBE
State: optimized geometry

Its magnetic moment is 13.49 μB per formula unit. The formation enthalpy at 0 K is -0.0611 eV per atom. The space-group type is P4/mmm (123).

Cell: 3.8102 3.8102 15.2022 Å, 90.00 90.00 90.00°
Last column: nearest neighbours and their distance in Å.
Atoms (fractional coordinates):
Mn 0.0000 0.0000 0.0000  12 Rh 2.69-2.70
Fe 0.0000 0.0000 0.2498  12 Rh 2.68-2.69
Fe 0.0000 0.0000 0.5000  12 Rh 2.69
Fe 0.0000 0.0000 0.7502  12 Rh 2.68-2.69
Rh 0.5000 0.5000 0.0000  4 Mn 2.69, 8 Rh 2.70
Rh 0.5000 0.5000 0.2501  8 Rh 2.69, 4 Fe 2.69
Rh 0.5000 0.5000 0.5000  8 Rh 2.69, 4 Fe 2.69
Rh 0.5000 0.5000 0.7499  8 Rh 2.69, 4 Fe 2.69
Rh 0.5000 0.0000 0.1254  2 Fe 2.68, 8 Rh 2.69-2.70, 2 Mn 2.70
Rh 0.5000 0.0000 0.3749  8 Rh 2.69, 4 Fe 2.69
Rh 0.5000 0.0000 0.6251  8 Rh 2.69, 4 Fe 2.69
Rh 0.5000 0.0000 0.8746  2 Fe 2.68, 8 Rh 2.69-2.70, 2 Mn 2.70
Rh 0.0000 0.5000 0.1254  2 Fe 2.68, 8 Rh 2.69-2.70, 2 Mn 2.70
Rh 0.0000 0.5000 0.3749  8 Rh 2.69, 4 Fe 2.69
Rh 0.0000 0.5000 0.6251  8 Rh 2.69, 4 Fe 2.69
Rh 0.0000 0.5000 0.8746  2 Fe 2.68, 8 Rh 2.69-2.70, 2 Mn 2.70

---

No. 6
Material: MnFeRh2
Method: DFT, PBE
State: optimized geometry

Its magnetic moment is 5.91 μB per formula unit. The formation enthalpy at 0 K is 0.0236 eV per atom. The space-group type is P4mm (99).

Cell: 2.8278 2.8278 6.6672 Å, 90.00 90.00 90.00°
Last column: nearest neighbours and their distance in Å.
Atoms (fractional coordinates):
Fe 0.0000 0.0000 0.5089  4 Mn 2.53, 4 Rh 2.55, 4 Fe 2.83
Mn 0.5000 0.5000 0.7408  4 Fe 2.53, 4 Rh 2.55, 4 Mn 2.83
Rh 0.0000 0.0000 0.9786  4 Mn 2.55, 8 Rh 2.80-2.83
Rh 0.5000 0.5000 0.2717  4 Fe 2.55, 8 Rh 2.80-2.83

---

No. 7
Material: MnFeRh4
Method: DFT, PBE
State: optimized geometry

Its energy above the lowest structure with this stoichiometry is 0.0 meV per atom. Its magnetic moment is 5.11 μB per formula unit. The formation enthalpy at 0 K is -0.0265 eV per atom. The space-group type is C2/m (12).

Cell: 2.7313 5.8204 6.9760 Å, 124.03 78.71 76.43°
Last column: nearest neighbours and their distance in Å.
Atoms (fractional coordinates):
Mn 0.0000 0.0000 0.0000  8 Rh 2.60-2.62, 2 Fe 2.72, 2 Mn 2.73
Fe 0.5000 0.5000 0.5000  8 Rh 2.61-2.62, 2 Mn 2.72, 2 Fe 2.73
Rh 0.8312 0.5074 0.8302  2 Fe 2.62, 2 Mn 2.62, 8 Rh 2.72-2.75
Rh 0.3300 0.0104 0.3295  2 Mn 2.60, 2 Fe 2.61, 8 Rh 2.72-2.77
Rh 0.1688 0.4926 0.1698  2 Fe 2.62, 2 Mn 2.62, 8 Rh 2.72-2.75
Rh 0.6700 0.9896 0.6705  2 Mn 2.60, 2 Fe 2.61, 8 Rh 2.72-2.77

---

No. 8
Material: MnFeRh2
Method: DFT, PBE
State: optimized geometry

Its magnetic moment is 6.71 μB per formula unit. The formation enthalpy at 0 K is 0.0389 eV per atom. The space-group type is C2/m (12).

Cell: 4.5305 4.5305 4.7163 Å, 80.02 80.02 34.97°
Last column: nearest neighbours and their distance in Å.
Atoms (fractional coordinates):
Fe 0.2500 0.2500 0.2500  6 Rh 2.64-2.65, 2 Fe 2.72, 4 Mn 2.72
Mn 0.7500 0.7500 0.7500  6 Rh 2.64-2.65, 2 Mn 2.72, 4 Fe 2.72
Rh 0.9994 0.9994 0.0010  3 Fe 2.64-2.65, 3 Mn 2.64-2.65, 6 Rh 2.72-2.73
Rh 0.5006 0.5006 0.4990  3 Fe 2.64-2.65, 3 Mn 2.64-2.65, 6 Rh 2.72-2.73

---

No. 9
Material: MnFeRuRh
Method: DFT, PBE
State: optimized geometry

Its magnetic moment is 7.70 μB per formula unit. The formation enthalpy at 0 K is 0.0362 eV per atom. The space-group type is F-43m (216).

Cell: 4.2531 4.2531 4.2531 Å, 60.00 60.00 60.00°
Last column: nearest neighbours and their distance in Å.
Atoms (fractional coordinates):
Ru 0.7500 0.7500 0.7500  4 Mn 2.60, 4 Fe 2.60
Mn 0.5000 0.5000 0.5000  4 Ru 2.60, 4 Rh 2.60
Rh 0.2500 0.2500 0.2500  4 Mn 2.60, 4 Fe 2.60
Fe 0.0000 0.0000 0.0000  4 Ru 2.60, 4 Rh 2.60

---

No. 10
Material: MnFeSbRh
Method: DFT, PBE
State: optimized geometry

Its magnetic moment is 5.01 μB per formula unit. The space-group type is F-43m (216).

Cell: 4.3479 4.3479 4.3479 Å, 60.00 60.00 60.00°
Last column: nearest neighbours and their distance in Å.
Atoms (fractional coordinates):
Sb 0.5000 0.5000 0.5000  4 Fe 2.66, 4 Rh 2.66
Mn 0.0000 0.0000 0.0000  4 Fe 2.66, 4 Rh 2.66
Rh 0.7500 0.7500 0.7500  4 Mn 2.66, 4 Sb 2.66
Fe 0.2500 0.2500 0.2500  4 Sb 2.66, 4 Mn 2.66

---

No. 11
Material: Ti5MnFe2Rh2
Method: DFT, PBE
State: optimized geometry

Its magnetic moment is 0.00 μB per formula unit. The formation enthalpy at 0 K is -0.2105 eV per atom. The space-group type is P4/mbm (127).

Cell: 3.0011 9.7649 9.7649 Å, 90.00 90.00 90.00°
Last column: nearest neighbours and their distance in Å.
Atoms (fractional coordinates):
Ti 0.5000 0.1938 0.0726  2 Fe 2.35, 2 Mn 2.52
Ti 0.5000 0.8062 0.9274  2 Fe 2.35, 2 Mn 2.52
Ti 0.5000 0.0726 0.8062  2 Fe 2.35, 2 Mn 2.52
Ti 0.5000 0.6938 0.4274  2 Fe 2.35, 2 Mn 2.52
Ti 0.5000 0.9274 0.1938  2 Fe 2.35, 2 Mn 2.52
Ti 0.5000 0.3062 0.5726  2 Fe 2.35, 2 Mn 2.52
Ti 0.5000 0.5726 0.6938  2 Fe 2.35, 2 Mn 2.52
Ti 0.5000 0.4274 0.3062  2 Fe 2.35, 2 Mn 2.52
Ti 0.5000 0.5000 0.0000  4 Fe 2.34
Ti 0.5000 0.0000 0.5000  4 Fe 2.34
Mn 0.0000 0.0000 0.0000  8 Ti 2.52
Mn 0.0000 0.5000 0.5000  8 Ti 2.52
Fe 0.0000 0.1303 0.6303  6 Ti 2.34-2.35
Fe 0.0000 0.8697 0.3697  6 Ti 2.34-2.35
Fe 0.0000 0.6303 0.8697  6 Ti 2.34-2.35
Fe 0.0000 0.3697 0.1303  6 Ti 2.34-2.35
Rh 0.0000 0.6689 0.1689  3 Fe 2.77-2.95, 10 Ti 2.77-3.10, 2 Rh 3.00
Rh 0.0000 0.3311 0.8311  3 Fe 2.77-2.95, 10 Ti 2.77-3.10, 2 Rh 3.00
Rh 0.0000 0.1689 0.3311  3 Fe 2.77-2.95, 10 Ti 2.77-3.10, 2 Rh 3.00
Rh 0.0000 0.8311 0.6689  3 Fe 2.77-2.95, 10 Ti 2.77-3.10, 2 Rh 3.00

---

No. 12
Material: MnVFeRh
Method: DFT, PBE
State: optimized geometry

Its magnetic moment is 4.83 μB per formula unit. The formation enthalpy at 0 K is -0.1357 eV per atom. The space-group type is F-43m (216).

Cell: 4.1820 4.1820 4.1820 Å, 60.00 60.00 60.00°
Last column: nearest neighbours and their distance in Å.
Atoms (fractional coordinates):
Mn 0.2500 0.2500 0.2500  4 Fe 2.56, 4 Rh 2.56
Rh 0.5000 0.5000 0.5000  4 Mn 2.56, 4 V 2.56
Fe 0.0000 0.0000 0.0000  4 Mn 2.56, 4 V 2.56
V 0.7500 0.7500 0.7500  4 Rh 2.56, 4 Fe 2.56

---

No. 13
Material: MnZnFeRh
Method: DFT, PBE
State: optimized geometry

Its magnetic moment is 6.97 μB per formula unit. The formation enthalpy at 0 K is -0.0764 eV per atom. The space-group type is F-43m (216).

Cell: 4.2448 4.2448 4.2448 Å, 60.00 60.00 60.00°
Last column: nearest neighbours and their distance in Å.
Atoms (fractional coordinates):
Zn 0.0000 0.0000 0.0000  4 Mn 2.60, 4 Rh 2.60
Mn 0.7500 0.7500 0.7500  4 Fe 2.60, 4 Zn 2.60
Rh 0.2500 0.2500 0.2500  4 Fe 2.60, 4 Zn 2.60
Fe 0.5000 0.5000 0.5000  4 Mn 2.60, 4 Rh 2.60

---

Short version: DOS(E_F) = 4.34 4.69 16.09 6.61 21.46 4.02 9.22 6.71 4.28 1.59 15.89 1.77 2.70 states/eV/cell, in the order given.
Short version: E_tot = -8.09 -8.11 -7.80 -8.32 -7.73 -8.06 -7.87 -8.04 -8.53 -7.40 -8.24 -8.66 -6.64 eV/atom, in the order given.